Density functional theory data (PBE) for a relaxed Er3Ir2Pb crystal.

Geometry as POSCAR:
```
Er3Ir2Pb
1.0
3.3595 0.0000 0.0000
0.0000 3.3595 0.0000
0.0000 0.0000 11.9816
Er Ir Pb
3 2 1
Direct
0.0000 0.0000 0.0000 Er
0.0000 0.0000 0.2881 Er
0.0000 0.0000 0.7119 Er
0.5000 0.5000 0.1495 Ir
0.5000 0.5000 0.8504 Ir
0.5000 0.5000 0.5000 Pb
```

Computed properties:
DFT formation energy, kJ/mol of formula units: -439
DFT total energy, eV per atom: -6.612
Space group: P4/mmm, No. 123
Fermi-level density of states, states/eV per atom: 0.634